(1)
RbTiPS2: optimized geometry, PBE.

a b c (Å): 5.360 5.360 5.235
angles (deg): 90.00 90.00 90.00
Space group P4/mmm (No. 123)
One atom of each set of equivalent atoms:
Rb: 0.000 0.000 0.000
Ti: 0.500 0.500 0.500
P: 0.000 0.000 0.500
S: 0.000 0.500 0.000

The calculation puts the energy relative to the lowest polymorph listed for this composition at 1079 kJ/mol of formula units. As for the density of states at the Fermi level: 1.33 states/eV per atom. The raw formation energy comes out at 1.591 eV per atom.

(2)
MoSe: optimized geometry, PBE.

a b c (Å): 4.096 4.096 7.883
angles (deg): 90.00 90.00 90.00
Space group I4_1/amd (No. 141, origin choice 2)
One atom of each set of equivalent atoms:
Mo: 0.000 0.250 0.375
Se: 0.000 0.250 0.875

The calculation puts the energy relative to the lowest polymorph listed for this composition at 137 kJ/mol of formula units. As for the density of states at the Fermi level: 0.76 states/eV per atom. The raw formation energy comes out at 0.432 eV per atom.

(3)
AcTl2Pd3: optimized geometry, PBE.

a b c (Å): 4.8438 4.8438 13.2942
angles (deg): 90.00 90.00 120.00
Space group P6_3/mmc (No. 194)
One atom of each set of equivalent atoms:
Ac: 0.0000 0.0000 0.2500
Tl: 0.3333 0.6667 0.0819
Pd: 0.0000 0.0000 0.0000
Pd: 0.3333 0.6667 0.6349

As for the density of states at the Fermi level: 0.49 states/eV per atom. The value obtained for the energy of formation is -0.473 eV per atom.

(4)
TbSc3Ru: optimized geometry, PBE.

a b c (Å): 5.050 5.050 5.050
angles (deg): 90.00 90.00 90.00
Space group Pm-3m (No. 221)
One atom of each set of equivalent atoms:
Tb: 0.000 0.000 0.000
Sc: 0.000 0.500 0.500
Ru: 0.500 0.500 0.500

The calculation puts the energy relative to the lowest polymorph listed for this composition at 29 kJ/mol of formula units. As for the density of states at the Fermi level: 1.27 states/eV per atom. The value obtained for the energy of formation is -0.133 eV per atom.

(5)
SmScHg6: optimized geometry, PBE.

a b c (Å): 4.987 6.611 11.464
angles (deg): 90.00 90.00 90.00
Space group Amm2 (No. 38)
One atom of each set of equivalent atoms:
Sm: 0.000 0.000 0.000
Sc: 0.500 0.000 0.335
Hg: 0.000 0.000 0.496
Hg: 0.000 0.243 0.253
Hg: 0.500 0.000 0.830
Hg: 0.500 0.245 0.586

The calculation puts the energy relative to the lowest polymorph listed for this composition at 0 kJ/mol of formula units. As for the density of states at the Fermi level: 0.79 states/eV per atom. The value obtained for the energy of formation is -0.290 eV per atom.

(6)
ZnAs2Se: optimized geometry, PBE.

a b c (Å): 2.756 2.756 11.188
angles (deg): 90.00 90.00 90.00
Space group P4/mmm (No. 123)
One atom of each set of equivalent atoms:
Zn: 0.000 0.000 0.000
As: 0.500 0.500 0.189
Se: 0.000 0.000 0.500

The calculation puts the energy relative to the lowest polymorph listed for this composition at 182 kJ/mol of formula units. As for the density of states at the Fermi level: 0.63 states/eV per atom. The raw formation energy comes out at 0.308 eV per atom.

(7)
DyEr2In4: optimized geometry, PBE.

a b c (Å): 7.422 7.422 7.292
angles (deg): 90.00 90.00 90.00
Space group I4/mmm (No. 139)
One atom of each set of equivalent atoms:
Dy: 0.000 0.000 0.000
Er: 0.000 0.500 0.000
In: 0.250 0.250 0.250

As for the density of states at the Fermi level: 0.79 states/eV per atom. The value obtained for the energy of formation is -0.316 eV per atom.

(8)
Y6SnSe5: optimized geometry, PBE.

a b c (Å): 7.178 12.424 7.199
angles (deg): 90.00 109.35 90.00
Space group C2/m (No. 12)
One atom of each set of equivalent atoms:
Y: 0.246 0.000 0.253
Y: 0.246 0.169 0.744
Sn: 0.000 0.500 0.000
Se: 0.000 0.000 0.500
Se: 0.000 0.167 0.000
Se: 0.000 0.335 0.500

As for the density of states at the Fermi level: 0.44 states/eV per atom. The raw formation energy comes out at -1.614 eV per atom.

(9)
Mo2Br: optimized geometry, PBE.

a b c (Å): 3.2719 3.2719 6.2515
angles (deg): 90.00 90.00 120.00
Space group P-3m1 (No. 164)
One atom of each set of equivalent atoms:
Mo: 0.3333 0.6667 0.1285
Br: 0.0000 0.0000 0.5000

The calculation puts the energy relative to the lowest polymorph listed for this composition at 66 kJ/mol of formula units. As for the density of states at the Fermi level: 0.42 states/eV per atom. The raw formation energy comes out at 0.341 eV per atom.

(10)
PrSmEr2S4: optimized geometry, PBE.

a b c (Å): 6.798 3.898 7.011
angles (deg): 90.00 108.66 90.00
Space group P2/m (No. 10)
One atom of each set of equivalent atoms:
Pr: 0.000 0.000 0.000
Sm: 0.500 0.500 0.000
Er: 0.000 0.500 0.500
Er: 0.500 0.000 0.500
S: 0.247 0.000 0.732
S: 0.260 0.500 0.270

As for the density of states at the Fermi level: 0.48 states/eV per atom. The raw formation energy comes out at -1.993 eV per atom.

(11)
Cd4AgAu3: optimized geometry, PBE.

a b c (Å): 4.7795 4.7795 23.6314
angles (deg): 90.00 90.00 120.00
Space group R-3m (No. 166, hexagonal axes)
One atom of each set of equivalent atoms:
Cd: 0.0000 0.0000 0.1236
Cd: 0.0000 0.0000 0.3735
Ag: 0.0000 0.0000 0.5000
Au: 0.0000 0.0000 0.0000
Au: 0.0000 0.0000 0.2462

The calculation puts the energy relative to the lowest polymorph listed for this composition at 0 kJ/mol of formula units. As for the density of states at the Fermi level: 0.23 states/eV per atom. The value obtained for the energy of formation is -0.148 eV per atom.

(12)
ErAl2Zn2: optimized geometry, PBE.

a b c (Å): 7.828 7.828 2.957
angles (deg): 90.00 90.00 90.00
Space group P4/mbm (No. 127)
One atom of each set of equivalent atoms:
Er: 0.000 0.000 0.000
Al: 0.127 0.373 0.000
Zn: 0.169 0.669 0.500

As for the density of states at the Fermi level: 0.30 states/eV per atom. The value obtained for the energy of formation is -0.124 eV per atom.

(13)
KZr2Ni: optimized geometry, PBE.

a b c (Å): 12.230 3.018 5.659
angles (deg): 90.00 113.36 90.00
Space group C2/m (No. 12)
One atom of each set of equivalent atoms:
K: 0.000 0.000 0.000
Zr: 0.195 0.000 0.682
Ni: 0.000 0.500 0.500

The calculation puts the energy relative to the lowest polymorph listed for this composition at 115 kJ/mol of formula units. As for the density of states at the Fermi level: 1.18 states/eV per atom. The value obtained for the energy of formation is 0.481 eV per atom.

(14)
LiDy2ErSe5: optimized geometry, PBE.

a b c (Å): 4.043 16.930 12.342
angles (deg): 90.00 90.00 90.00
Space group Cmc2_1 (No. 36)
One atom of each set of equivalent atoms:
Li: 0.000 0.013 0.000
Dy: 0.000 0.375 0.811
Dy: 0.000 0.393 0.203
Er: 0.000 0.304 0.521
Se: 0.000 0.000 0.304
Se: 0.000 0.138 0.519
Se: 0.000 0.193 0.860
Se: 0.000 0.215 0.181
Se: 0.000 0.454 0.594

The raw formation energy comes out at -1.687 eV per atom.

(15)
Tm2ScSi: optimized geometry, PBE.

a b c (Å): 3.4094 3.4094 31.2639
angles (deg): 90.00 90.00 120.00
Space group R-3m (No. 166, hexagonal axes)
One atom of each set of equivalent atoms:
Tm: 0.0000 0.0000 0.1019
Sc: 0.0000 0.0000 0.0000
Si: 0.0000 0.0000 0.5000

As for the density of states at the Fermi level: 0.96 states/eV per atom. The raw formation energy comes out at 0.070 eV per atom.

(16)
EuSiTe2: optimized geometry, PBE.

a b c (Å): 4.7418 4.7418 26.0466
angles (deg): 90.00 90.00 120.00
Space group R-3m (No. 166, hexagonal axes)
One atom of each set of equivalent atoms:
Eu: 0.0000 0.0000 0.0000
Si: 0.0000 0.0000 0.5000
Te: 0.0000 0.0000 0.3985

As for the density of states at the Fermi level: 2.77 states/eV per atom. The raw formation energy comes out at -0.182 eV per atom.

(17)
TcHIr2W: optimized geometry, PBE.

a b c (Å): 3.902 3.902 4.032
angles (deg): 90.00 90.00 90.00
Space group P4/mmm (No. 123)
One atom of each set of equivalent atoms:
Tc: 0.000 0.000 0.000
H: 0.000 0.000 0.500
Ir: 0.000 0.500 0.500
W: 0.500 0.500 0.000

The calculation puts the energy relative to the lowest polymorph listed for this composition at 0 kJ/mol of formula units. As for the density of states at the Fermi level: 0.27 states/eV per atom.

(18)
NaLaIn6: optimized geometry, PBE.

a b c (Å): 5.087 6.673 6.525
angles (deg): 90.00 90.00 90.00
Space group Pmm2 (No. 25)
One atom of each set of equivalent atoms:
Na: 0.000 0.000 0.000
La: 0.500 0.500 0.236
In: 0.000 0.256 0.468
In: 0.000 0.500 0.900
In: 0.500 0.000 0.331
In: 0.500 0.240 0.769

As for the density of states at the Fermi level: 0.55 states/eV per atom. The value obtained for the energy of formation is -0.222 eV per atom.

(19)
CsNa2ZnSi: optimized geometry, PBE.

a b c (Å): 5.880 5.880 4.873
angles (deg): 90.00 90.00 90.00
Space group P4/mmm (No. 123)
One atom of each set of equivalent atoms:
Cs: 0.000 0.000 0.000
Na: 0.000 0.500 0.500
Zn: 0.500 0.500 0.000
Si: 0.500 0.500 0.500

As for the density of states at the Fermi level: 0.29 states/eV per atom. The raw formation energy comes out at 0.123 eV per atom.

(20)
NdEr2PuS4: optimized geometry, PBE.

a b c (Å): 6.816 3.915 6.863
angles (deg): 90.00 109.07 90.00
Space group P2/m (No. 10)
One atom of each set of equivalent atoms:
Nd: 0.000 0.000 0.000
Er: 0.000 0.500 0.500
Er: 0.500 0.000 0.500
Pu: 0.500 0.500 0.000
S: 0.250 0.000 0.739
S: 0.259 0.500 0.265

As for the density of states at the Fermi level: 1.00 states/eV per atom. The raw formation energy comes out at -1.948 eV per atom.

(21)
Er5Tl4H: optimized geometry, PBE.

a b c (Å): 9.583 9.583 5.546
angles (deg): 90.00 90.00 90.00
Space group I4 (No. 79)
One atom of each set of equivalent atoms:
Er: 0.000 0.000 0.000
Er: 0.142 0.199 0.501
Tl: 0.024 0.330 0.000
H: 0.000 0.000 0.404

As for the density of states at the Fermi level: 0.87 states/eV per atom.

(22)
PrEr4Cd: optimized geometry, PBE.

a b c (Å): 8.698 14.146 6.281
angles (deg): 90.00 109.09 90.00
Space group C2/c (No. 15)
One atom of each set of equivalent atoms:
Pr: 0.000 0.091 0.250
Er: 0.098 0.310 0.543
Er: 0.218 0.124 0.876
Cd: 0.000 0.500 0.250

The calculation puts the energy relative to the lowest polymorph listed for this composition at 52 kJ/mol of formula units. As for the density of states at the Fermi level: 1.37 states/eV per atom. The value obtained for the energy of formation is 0.007 eV per atom.

(23)
Pm2ErHg4: optimized geometry, PBE.

a b c (Å): 5.599 5.599 15.565
angles (deg): 90.00 90.00 90.00
Space group I4/mmm (No. 139)
One atom of each set of equivalent atoms:
Pm: 0.000 0.000 0.107
Er: 0.000 0.000 0.500
Hg: 0.000 0.000 0.307
Hg: 0.000 0.500 0.000

The calculation puts the energy relative to the lowest polymorph listed for this composition at 212 kJ/mol of formula units. As for the density of states at the Fermi level: 0.97 states/eV per atom. The value obtained for the energy of formation is -0.034 eV per atom.

(24)
PuGaRu: optimized geometry, PBE.

a b c (Å): 3.164 3.164 10.985
angles (deg): 90.00 90.00 90.00
Space group I4mm (No. 107)
One atom of each set of equivalent atoms:
Pu: 0.000 0.000 0.000
Ga: 0.000 0.000 0.707
Ru: 0.000 0.000 0.325

As for the density of states at the Fermi level: 1.75 states/eV per atom. The value obtained for the energy of formation is -0.277 eV per atom.

Number 1: E -14.57 eV/cell. Number 2: E -53.81 eV/cell. Number 3: E -54.51 eV/cell. Number 4: E -33.57 eV/cell. Number 5: E -30.36 eV/cell. Number 6: E -12.83 eV/cell. Number 7: E -53.78 eV/cell. Number 8: E -159.15 eV/cell. Number 9: E -22.31 eV/cell. Number 10: E -51.08 eV/cell. Number 11: E -52.59 eV/cell. Number 12: E -30.43 eV/cell. Number 13: E -44.10 eV/cell. Number 14: E -193.16 eV/cell. Number 15: E -61.26 eV/cell. Number 16: E -68.12 eV/cell. Number 17: E -44.98 eV/cell. Number 18: E -24.46 eV/cell. Number 19: E -9.58 eV/cell. Number 20: E -60.32 eV/cell. Number 21: E -74.14 eV/cell. Number 22: E -95.61 eV/cell. Number 23: E -31.01 eV/cell. Number 24: E -54.93 eV/cell.